# 1
Material: LaDyEr
Method: DFT, PBE-GGA
State: optimized geometry

Output
The crystal system is orthorhombic. The calculation puts the formation energy at 0.0356 eV/atom. Its total energy is -27.97 eV/cell. For the density of states at the Fermi level, the calculation gives 1.703 states/eV per atom. The calculation puts the energy above the most stable polymorph in this dataset at 0.041 eV per formula unit. The value obtained for the spin magnetization is 0.00 μB/f.u.

abc: 10.3461 10.3461 5.4715
angles: 90.00 90.00 160.18
Fractional coordinates of all 6 atoms:
1 La 0.2053 0.7947 0.7500
2 La 0.7947 0.2053 0.2500
3 Dy 0.0398 0.9602 0.7500
4 Dy 0.9602 0.0398 0.2500
5 Er 0.3877 0.6123 0.7500
6 Er 0.6123 0.3877 0.2500

# 2
Material: La9DyEr2
Method: DFT, PBE-GGA
State: optimized geometry

Output
The crystal system is tetragonal. The calculation puts the formation energy at 0.0069 eV/atom. Its total energy is -57.99 eV/cell. For the density of states at the Fermi level, the calculation gives 1.242 states/eV per atom. The value obtained for the spin magnetization is 0.00 μB/f.u.

abc: 5.1951 5.1951 15.5855
angles: 90.00 90.00 90.00
Fractional coordinates of all 12 atoms:
1 La 0.0000 0.0000 0.0000
2 La 0.0000 0.0000 0.3335
3 La 0.0000 0.0000 0.6665
4 La 0.0000 0.5000 0.1671
5 La 0.0000 0.5000 0.5000
6 La 0.0000 0.5000 0.8329
7 La 0.5000 0.0000 0.1671
8 La 0.5000 0.0000 0.5000
9 La 0.5000 0.0000 0.8329
10 Dy 0.5000 0.5000 0.0000
11 Er 0.5000 0.5000 0.3335
12 Er 0.5000 0.5000 0.6665

# 3
Material: La11Dy9Er4
Method: DFT, PBE-GGA
State: optimized geometry

Output
The crystal system is orthorhombic. The calculation puts the formation energy at 0.0685 eV/atom. Its total energy is -112.23 eV/cell. For the density of states at the Fermi level, the calculation gives 1.454 states/eV per atom. The value obtained for the spin magnetization is 0.00 μB/f.u.

abc: 15.5789 15.5789 3.6937
angles: 90.00 90.00 112.98
Fractional coordinates of all 24 atoms:
1 La 0.0000 0.0000 0.0000
2 La 0.0424 0.4042 0.0000
3 La 0.1598 0.8402 0.0000
4 La 0.2936 0.2936 0.0000
5 La 0.3687 0.6313 0.0000
6 La 0.4042 0.0424 0.0000
7 La 0.5958 0.9576 0.0000
8 La 0.6313 0.3687 0.0000
9 La 0.7064 0.7064 0.0000
10 La 0.8402 0.1598 0.0000
11 La 0.9576 0.5958 0.0000
12 Dy 0.0696 0.2142 0.5000
13 Dy 0.1666 0.6309 0.5000
14 Dy 0.2142 0.0696 0.5000
15 Dy 0.3691 0.8334 0.5000
16 Dy 0.5000 0.5000 0.5000
17 Dy 0.6309 0.1666 0.5000
18 Dy 0.7858 0.9304 0.5000
19 Dy 0.8334 0.3691 0.5000
20 Dy 0.9304 0.7858 0.5000
21 Er 0.2406 0.4448 0.5000
22 Er 0.4448 0.2406 0.5000
23 Er 0.5552 0.7594 0.5000
24 Er 0.7594 0.5552 0.5000

total energy of number 2 (La9DyEr2)?
-57.99 eV/cell

Among the records above, which one has the lowest total energy?
La11Dy9Er4